# 1
Entry from OQMD via LeMat-Bulk: DyHoZn6 after structural relaxation (GGA-PBE).

The raw total energy is -2.3892 eV/atom. The calculation puts the formation energy at -2.3 eV per formula unit.

The structure belongs to space group P4/mmm (No. 123); the cell edges are 4.6629, 4.6629 and 6.5776 Å and the angles 90.00°, 90.00° and 90.00°. The distinct sites, in fractional coordinates, are Dy at (0.0000, 0.0000, 0.0000), Ho at (0.5000, 0.5000, 0.5000), Zn at (0.0000, 0.0000, 0.5000), Zn at (0.0000, 0.5000, 0.2509) and Zn at (0.5000, 0.5000, 0.0000).

# 2
Entry from OQMD via LeMat-Bulk: DyI2 after structural relaxation (GGA-PBE).

The raw total energy is -2.1869 eV/atom.

The structure belongs to space group Fd-3m (No. 227, origin choice 2); the cell edges are 9.5852, 9.5852 and 9.5852 Å and the angles 90.00°, 90.00° and 90.00°. The distinct sites, in fractional coordinates, are Dy at (0.1250, 0.1250, 0.1250) and I at (0.0000, 0.0000, 0.5000).

# 3
Entry from OQMD via LeMat-Bulk: DyI after structural relaxation (GGA-PBE).

The raw total energy is -3.1476 eV/atom.

The structure belongs to space group F-43m (No. 216); the cell edges are 6.8794, 6.8794 and 6.8794 Å and the angles 90.00°, 90.00° and 90.00°. The distinct sites, in fractional coordinates, are Dy at (0.0000, 0.0000, 0.0000) and I at (0.2500, 0.2500, 0.7500).